Entry 1:
Material: PrZn6Pt6
Method: DFT, GGA-PBE
State: relaxed

**Energy**: -4.30 eV/atom
**Fermi-level density of states**: 5.790 states/eV/f.u.
**Space-group type**: Immm
**Formation enthalpy at 0 K**: -53.7 kJ/mol of atoms

Structure (POSCAR):
```
PrZn6Pt6
1.0
5.2539 0.0000 0.0000
2.6270 6.3023 -0.0461
2.6270 0.1048 6.3016
Pt Zn Pr
6 6 1
Direct
0.0000 0.3415 0.6585
0.3450 0.6550 0.6550
0.0000 0.6585 0.3415
0.2896 0.2104 0.2104
0.7104 0.7896 0.7896
0.6550 0.3450 0.3450
0.5000 0.7748 0.2252
0.0000 0.0000 0.5000
0.0000 0.5000 0.0000
0.5000 0.5000 0.0000
0.5000 0.0000 0.5000
0.5000 0.2252 0.7748
0.0000 0.0000 0.0000
```

=====

Entry 2:
Material: Pr2Zn3Pt
Method: DFT, GGA-PBE
State: relaxed

**Energy**: -3.83 eV/atom
**Fermi-level density of states**: 4.077 states/eV/f.u.
**Space-group type**: Pmm2
**Formation enthalpy at 0 K**: -57.6 kJ/mol of atoms

Structure (POSCAR):
```
Pr2Zn3Pt
1.0
-2.3589 0.2114 2.9684
-3.0923 -2.3748 -2.2882
2.9847 -6.6265 2.8437
Pt Zn Pr
1 3 2
Direct
0.5000 0.5000 0.3343
0.5000 0.5000 0.6736
0.5000 0.0000 0.1593
0.5000 0.0000 0.8295
0.0000 0.5000 0.0202
0.0000 0.0000 0.4832
```

=====

Entry 3:
Material: PrZn12Pt6
Method: DFT, GGA-PBE
State: relaxed

**Energy**: -3.37 eV/atom
**Fermi-level density of states**: 7.467 states/eV/f.u.
**Space-group type**: R-3m
**Formation enthalpy at 0 K**: -39.6 kJ/mol of atoms

Structure (POSCAR):
```
PrZn12Pt6
1.0
7.1864 -0.0245 -0.0345
-1.8051 6.9560 -0.0345
-1.8051 -2.3252 6.5560
Zn Pr Pt
12 1 6
Direct
0.1107 0.8893 0.5000
0.5000 0.8893 0.1107
0.6056 0.8644 0.6056
0.8893 0.1107 0.5000
0.1356 0.3944 0.3944
0.1107 0.5000 0.8893
0.8644 0.6056 0.6056
0.3944 0.3944 0.1356
0.6056 0.6056 0.8644
0.8893 0.5000 0.1107
0.3944 0.1356 0.3944
0.5000 0.1107 0.8893
0.0000 0.0000 0.0000
0.7226 0.2945 0.7226
0.7055 0.2774 0.2774
0.2774 0.2774 0.7055
0.2945 0.7226 0.7226
0.7226 0.7226 0.2945
0.2774 0.7055 0.2774
```